! PBE Lu2BBr, relaxed; values from VASP
&SYSTEM
  ibrav = 0, nat = 4, ntyp = 3
/
ATOMIC_SPECIES
B 10.81 B.upf
Lu 174.97 Lu.upf
Br 79.90 Br.upf
CELL_PARAMETERS angstrom
-3.052 -2.200 0.556
-0.979 -2.589 -2.608
2.644 -6.321 2.510
ATOMIC_POSITIONS crystal
B 0.000 0.000 0.000
Lu 0.726 0.726 0.821
Lu 0.274 0.274 0.179
Br 0.500 0.500 0.500
! * space group: R-3m, No. 166
! * raw total energy: -5.1279 eV per atom
! * E_form (uncorrected): -780 meV/atom


! PBE Zn2NiTeOs, relaxed; values from VASP
&SYSTEM
  ibrav = 0, nat = 5, ntyp = 4
/
ATOMIC_SPECIES
Ni 58.69 Ni.upf
Zn 65.41 Zn.upf
Te 127.60 Te.upf
Os 190.23 Os.upf
CELL_PARAMETERS angstrom
-4.569 2.112 0.532
-1.756 -3.088 -2.824
-0.952 -3.049 3.926
ATOMIC_POSITIONS crystal
Ni 0.000 0.500 0.000
Zn 0.000 0.000 0.500
Zn 0.500 0.000 0.000
Te 0.000 0.000 0.000
Os 0.500 0.500 0.500
! * space group: P4/mmm, No. 123
! * raw total energy: -2.8861 eV per atom
! * E_form (uncorrected): 1654 meV/atom


! PBE Li2CdInPb, relaxed; values from VASP
&SYSTEM
  ibrav = 0, nat = 5, ntyp = 4
/
ATOMIC_SPECIES
Pb 207.20 Pb.upf
Cd 112.41 Cd.upf
Li 6.94 Li.upf
In 114.82 In.upf
CELL_PARAMETERS angstrom
5.221 0.000 0.000
0.000 5.761 0.000
0.000 0.000 5.221
ATOMIC_POSITIONS crystal
Pb 0.000 0.500 0.000
Cd 0.500 0.500 0.500
Li 0.000 0.000 0.500
Li 0.500 0.000 0.000
In 0.000 0.000 0.000
! * space group: P4/mmm, No. 123
! * formation energy: 0.23 eV/atom
! * raw total energy: -2.0087 eV per atom


! PBE ZnCoS2Cl, relaxed; values from VASP
&SYSTEM
  ibrav = 0, nat = 5, ntyp = 4
/
ATOMIC_SPECIES
Zn 65.41 Zn.upf
Co 58.93 Co.upf
S 32.06 S.upf
Cl 35.45 Cl.upf
CELL_PARAMETERS angstrom
-1.315 -3.920 -1.578
3.379 0.016 -2.857
2.717 -2.199 3.201
ATOMIC_POSITIONS crystal
Zn 0.500 0.500 0.500
Co 0.000 0.000 0.000
S 0.000 0.500 0.000
S 0.500 0.000 0.000
Cl 0.000 0.000 0.500
! * space group: P4/mmm, No. 123
! * raw total energy: -3.4929 eV per atom
! * E_form (uncorrected): 203 meV/atom


! PBE AgSb2Te, relaxed; values from VASP
&SYSTEM
  ibrav = 0, nat = 8, ntyp = 3
/
ATOMIC_SPECIES
Sb 121.76 Sb.upf
Te 127.60 Te.upf
Ag 107.87 Ag.upf
CELL_PARAMETERS angstrom
6.487 0.000 0.000
0.000 6.487 0.000
3.243 3.243 6.843
ATOMIC_POSITIONS crystal
Sb 0.585 0.125 0.250
Sb 0.165 0.625 0.250
Sb 0.375 0.415 0.750
Sb 0.875 0.835 0.750
Te 0.000 0.000 0.000
Te 0.750 0.250 0.500
Ag 0.500 0.500 0.000
Ag 0.250 0.750 0.500
! * space group: I-42d, No. 122
! * raw total energy: -3.2917 eV per atom
! * E_form (uncorrected): 268 meV/atom


! PBE Mg2ScIn2, relaxed; values from VASP
&SYSTEM
  ibrav = 0, nat = 10, ntyp = 3
/
ATOMIC_SPECIES
Sc 44.96 Sc.upf
Mg 24.30 Mg.upf
In 114.82 In.upf
CELL_PARAMETERS angstrom
-6.275 -0.554 5.587
4.718 -5.062 4.797
1.177 2.593 1.579
ATOMIC_POSITIONS crystal
Sc 0.000 0.000 0.000
Sc 0.500 0.500 0.000
Mg 0.377 0.877 0.000
Mg 0.877 0.623 0.000
Mg 0.623 0.123 0.000
Mg 0.123 0.377 0.000
In 0.176 0.676 0.500
In 0.676 0.824 0.500
In 0.824 0.324 0.500
In 0.324 0.176 0.500
! * space group: P4/mbm, No. 127
! * formation energy: -0.08 eV/atom
! * raw total energy: -3.0818 eV per atom